[1]
Entry from Alexandria: an optimized crystal structure of InPb4S6 (PBE).

Cell: 8.2905 8.2905 13.1903 Å, 113.46 113.46 55.88°
Closest atoms and distances in Å follow each position.
Fractional coordinates of all 22 atoms:
In 0.2130 0.7870 0.5000  4 S 2.44-2.50
In 0.7870 0.2130 0.0000  4 S 2.44-2.50
Pb 0.0915 0.7461 0.7429  4 S 2.78-3.03
Pb 0.1680 0.3727 0.2458  4 S 2.74-3.03
Pb 0.3516 0.7066 0.0997  4 S 2.83-3.05
Pb 0.3727 0.1680 0.7458  4 S 2.74-3.03
Pb 0.6892 0.7545 0.4297  4 S 2.71-2.79
Pb 0.7066 0.3516 0.5997  4 S 2.83-3.05
Pb 0.7461 0.0915 0.2429  4 S 2.78-3.03
Pb 0.7545 0.6892 0.9297  4 S 2.71-2.79
S 0.0100 0.7122 0.1388  4 Pb 2.74-3.05
S 0.1024 0.5395 0.4616  1 In 2.49, 2 Pb 2.75-2.77
S 0.1194 0.9868 0.9609  1 In 2.44
S 0.3689 0.8197 0.7057  1 In 2.47, 1 Pb 2.74
S 0.4812 0.9764 0.2718  4 Pb 2.71-3.03
S 0.4965 0.5469 0.4027  1 In 2.50, 1 Pb 2.79
S 0.5395 0.1024 0.9616  1 In 2.49, 2 Pb 2.75-2.77
S 0.5469 0.4965 0.9027  1 In 2.50, 1 Pb 2.79
S 0.7122 0.0100 0.6388  4 Pb 2.74-3.05
S 0.8197 0.3689 0.2057  1 In 2.47, 1 Pb 2.74
S 0.9764 0.4812 0.7718  4 Pb 2.71-3.03
S 0.9868 0.1194 0.4609  1 In 2.44

Values from the calculation:
For the spin magnetization, the calculation gives 0.000 μB/cell. The density of states at the Fermi level is 7.66 states/eV/cell. The calculation puts the raw formation energy at -0.41 eV/atom. The space group is Cc.

[2]
Entry from Alexandria: an optimized crystal structure of AcLaOsBr (PBE).

Cell: 4.2558 4.2558 24.3181 Å, 90.00 90.00 120.00°
Closest atoms and distances in Å follow each position.
Fractional coordinates of all 12 atoms:
Ac 0.0000 0.0000 0.0000  3 Os 2.99
Ac 0.3333 0.6667 0.6667  3 Os 2.99
Ac 0.6667 0.3333 0.3333  3 Os 2.99
La 0.0000 0.0000 0.7952  3 Os 2.84
La 0.3333 0.6667 0.4618  3 Os 2.84
La 0.6667 0.3333 0.1285  3 Os 2.84
Os 0.0000 0.0000 0.4032  3 La 2.84, 3 Ac 2.99
Os 0.3333 0.6667 0.0698  3 La 2.84, 3 Ac 2.99
Os 0.6667 0.3333 0.7365  3 La 2.84, 3 Ac 2.99
Br 0.0000 0.0000 0.2265  3 La 3.42, 3 Ac 3.58
Br 0.3333 0.6667 0.8932  3 La 3.42, 3 Ac 3.58
Br 0.6667 0.3333 0.5598  3 La 3.42, 3 Ac 3.58

Values from the calculation:
For the spin magnetization, the calculation gives 0.000 μB/cell. The density of states at the Fermi level is 9.17 states/eV/cell. The calculation puts the raw formation energy at -0.72 eV/atom. The space group is R3m.

[3]
Entry from Alexandria: an optimized crystal structure of KMoAu2 (PBE).

Cell: 2.7770 5.3306 11.4572 Å, 90.00 90.00 90.00°
Closest atoms and distances in Å follow each position.
Fractional coordinates of all 8 atoms:
K 0.0000 0.0000 0.0000  2 K 2.78, 4 Au 3.01
K 0.5000 0.5000 0.5000  2 K 2.78, 4 Au 3.01
Mo 0.0000 0.5000 0.2116  2 Mo 2.78, 6 Au 2.82-3.07
Mo 0.5000 0.0000 0.7116  2 Mo 2.78, 6 Au 2.82-3.07
Au 0.0000 0.0000 0.4973  4 Au 2.78-2.97, 2 Mo 2.82, 4 K 3.01
Au 0.0000 0.5000 0.7678  4 Au 2.78-2.97, 4 Mo 3.07
Au 0.5000 0.0000 0.2678  4 Au 2.78-2.97, 4 Mo 3.07
Au 0.5000 0.5000 0.9973  4 Au 2.78-2.97, 2 Mo 2.82, 4 K 3.01

Values from the calculation:
For the spin magnetization, the calculation gives 3.118 μB/cell. For the energy of formation, the calculation gives 524 meV per atom. The density of states at the Fermi level is 5.76 states/eV/cell. The space group is Imm2.

[4]
Entry from Alexandria: an optimized crystal structure of Zr5Al4Zn (PBE).

Cell: 3.0522 3.0522 20.6344 Å, 90.00 90.00 90.00°
Closest atoms and distances in Å follow each position.
Fractional coordinates of all 10 atoms:
Zr 0.0000 0.0000 0.0000  8 Al 3.00, 4 Zr 3.05
Zr 0.0000 0.0000 0.2016  8 Al 3.00, 4 Zr 3.05
Zr 0.0000 0.0000 0.4020  4 Zn 2.96, 4 Al 2.98, 4 Zr 3.05
Zr 0.0000 0.0000 0.5980  4 Zn 2.96, 4 Al 2.98, 4 Zr 3.05
Zr 0.0000 0.0000 0.7984  8 Al 3.00, 4 Zr 3.05
Al 0.5000 0.5000 0.1009  8 Zr 3.00, 4 Al 3.05
Al 0.5000 0.5000 0.3026  8 Zr 2.98-3.00, 4 Al 3.05
Al 0.5000 0.5000 0.6974  8 Zr 2.98-3.00, 4 Al 3.05
Al 0.5000 0.5000 0.8991  8 Zr 3.00, 4 Al 3.05
Zn 0.5000 0.5000 0.5000  8 Zr 2.96, 4 Zn 3.05

Values from the calculation:
For the spin magnetization, the calculation gives 0.000 μB/cell. For the energy of formation, the calculation gives -400 meV per atom. The density of states at the Fermi level is 10.85 states/eV/cell. The space group is P4/mmm.

[5]
Entry from Alexandria: an optimized crystal structure of Pu3U2Se8 (PBE).

Cell: 8.4197 8.4197 6.9797 Å, 106.43 106.43 58.14°
Closest atoms and distances in Å follow each position.
Fractional coordinates of all 13 atoms:
Pu 0.0000 0.0000 0.0000  6 Se 2.89-2.97
Pu 0.2593 0.7407 0.5000  6 Se 2.86-2.91
Pu 0.7407 0.2593 0.5000  6 Se 2.86-2.91
U 0.2573 0.2573 0.8376  6 Se 2.82-2.92
U 0.7427 0.7427 0.1624  6 Se 2.82-2.92
Se 0.1120 0.6343 0.0833  2 Pu 2.89-2.91, 2 U 2.91-2.92
Se 0.1212 0.1212 0.4333  1 U 2.88, 3 Pu 2.91-2.97
Se 0.3657 0.8880 0.9167  2 Pu 2.89-2.91, 2 U 2.91-2.92
Se 0.3871 0.3871 0.6156  1 U 2.82, 2 Pu 2.86
Se 0.6129 0.6129 0.3844  1 U 2.82, 2 Pu 2.86
Se 0.6343 0.1120 0.0833  2 Pu 2.89-2.91, 2 U 2.91-2.92
Se 0.8788 0.8788 0.5667  1 U 2.88, 3 Pu 2.91-2.97
Se 0.8880 0.3657 0.9167  2 Pu 2.89-2.91, 2 U 2.91-2.92

Values from the calculation:
For the spin magnetization, the calculation gives 0.257 μB/cell. The density of states at the Fermi level is 53.59 states/eV/cell. The calculation puts the raw formation energy at -1.19 eV/atom. The space group is C2/m.

[6]
Entry from Alexandria: an optimized crystal structure of Li17Ca2Zn3 (PBE).

Cell: 7.8747 7.8747 7.8747 Å, 83.97 83.97 83.97°
Closest atoms and distances in Å follow each position.
Fractional coordinates of all 22 atoms:
Li 0.0000 0.0000 0.5000  10 Li 2.93-3.21
Li 0.0000 0.2627 0.7373  1 Zn 2.50, 2 Li 2.77
Li 0.0000 0.5000 0.0000  10 Li 2.93-3.21
Li 0.0000 0.7373 0.2627  1 Zn 2.50, 2 Li 2.77
Li 0.0987 0.0987 0.0987  10 Li 2.96-3.21
Li 0.1905 0.6644 0.6644  1 Zn 2.60, 4 Li 2.89
Li 0.2627 0.0000 0.7373  1 Zn 2.50, 2 Li 2.77
Li 0.2627 0.7373 0.0000  1 Zn 2.50, 2 Li 2.77
Li 0.3356 0.3356 0.8095  1 Zn 2.60, 4 Li 2.89
Li 0.3356 0.8095 0.3356  1 Zn 2.60, 4 Li 2.89
Li 0.5000 0.0000 0.0000  10 Li 2.93-3.21
Li 0.6644 0.1905 0.6644  1 Zn 2.60, 4 Li 2.89
Li 0.6644 0.6644 0.1905  1 Zn 2.60, 4 Li 2.89
Li 0.7373 0.0000 0.2627  1 Zn 2.50, 2 Li 2.77
Li 0.7373 0.2627 0.0000  1 Zn 2.50, 2 Li 2.77
Li 0.8095 0.3356 0.3356  1 Zn 2.60, 4 Li 2.89
Li 0.9013 0.9013 0.9013  10 Li 2.96-3.21
Ca 0.3358 0.3358 0.3358  3 Zn 3.04
Ca 0.6642 0.6642 0.6642  3 Zn 3.04
Zn 0.0000 0.5000 0.5000  4 Li 2.50-2.60
Zn 0.5000 0.0000 0.5000  4 Li 2.50-2.60
Zn 0.5000 0.5000 0.0000  4 Li 2.50-2.60

Values from the calculation:
For the spin magnetization, the calculation gives 0.000 μB/cell. For the energy of formation, the calculation gives 23 meV per atom. The density of states at the Fermi level is 11.96 states/eV/cell. The space group is R-3m.

Q: Number 3 is which compound?
A: KMoAu2

Q: Which of these has the highest spin magnetization?
A: KMoAu2

Q: Which of these has the highest spin magnetization?
A: KMoAu2